Record 1
The following is a PBE calculation of LaMg2Ru2 after structural relaxation, from the Alexandria database.

For the energy relative to the lowest polymorph listed for this composition, the calculation gives 0 meV/atom. The calculation puts the formation energy at 3 kJ/mol of formula units.

Cell: 4.3326 4.3326 11.3089 Å, 90.00 90.00 90.00°
Last column: nearest neighbours and their distance in Å.
Space group I4/mmm (No. 139)
One atom of each set of equivalent atoms:
La: 0.0000 0.0000 0.0000 x2  8 Ru 3.28, 8 Mg 3.56
Mg: 0.0000 0.5000 0.2500 x4  4 Ru 2.72
Ru: 0.0000 0.0000 0.3958 x4  1 Ru 2.36

Record 2
The following is a PBE calculation of SiPt3C after structural relaxation, from the Alexandria database.

As for the uncorrected formation energy: 0.51 eV per atom. For the energy relative to the lowest polymorph listed for this composition, the calculation gives 0 meV/atom.

Cell: 4.2085 4.2085 4.2085 Å, 90.00 90.00 90.00°
Last column: nearest neighbours and their distance in Å.
Space group Pm-3m (No. 221)
One atom of each set of equivalent atoms:
Si: 0.0000 0.0000 0.0000 x1  12 Pt 2.98
Pt: 0.0000 0.5000 0.5000 x3  2 C 2.10
C: 0.5000 0.5000 0.5000 x1  6 Pt 2.10

Record 3
The following is a PBE calculation of La6NdAg5 after structural relaxation, from the Alexandria database.

The calculation puts the formation energy at -189 kJ/mol of formula units.

Cell: 5.4336 7.7727 8.6749 Å, 90.00 108.15 90.00°
Last column: nearest neighbours and their distance in Å.
Space group P2/m (No. 10)
One atom of each set of equivalent atoms:
La: 0.0000 0.2262 0.0000 x2  6 Ag 3.24-3.27, 2 Nd 3.45, 1 La 3.52
La: 0.3246 0.2518 0.6485 x4  7 Ag 3.25-3.50, 1 Nd 3.48
Nd: 0.5000 0.5000 0.0000 x1  8 La 3.45-3.48, 4 Ag 3.66-3.67
Ag: 0.1490 0.5000 0.2986 x2  8 La 3.25-3.47
Ag: 0.1668 0.0000 0.3345 x2  8 La 3.25-3.35
Ag: 0.5000 0.0000 0.0000 x1  8 La 3.24-3.50

Record 4
The following is a PBE calculation of CaPr2Hg2 after structural relaxation, from the Alexandria database.

For the energy relative to the lowest polymorph listed for this composition, the calculation gives 0 meV/atom. The calculation puts the formation energy at -193 kJ/mol of formula units.

Cell: 8.8402 8.8402 3.9643 Å, 90.00 90.00 90.00°
Last column: nearest neighbours and their distance in Å.
Space group P4/mbm (No. 127)
One atom of each set of equivalent atoms:
Ca: 0.0000 0.0000 0.0000 x2  4 Hg 3.45, 8 Pr 3.86
Pr: 0.1636 0.3364 0.5000 x4  6 Hg 3.22-3.30
Hg: 0.1335 0.6335 0.0000 x4  6 Pr 3.22-3.30, 1 Hg 3.34, 2 Ca 3.45

Record 5
The following is a PBE calculation of CrOs5 after structural relaxation, from the Alexandria database.

The calculation puts the formation energy at -3 kJ/mol of formula units.

Cell: 4.3178 2.7351 14.1631 Å, 90.00 90.00 90.00°
Last column: nearest neighbours and their distance in Å.
Space group Amm2 (No. 38)
One atom of each set of equivalent atoms:
Cr: 0.0000 0.0000 0.0000 x2  10 Os 2.65-2.69, 2 Cr 2.74
Os: 0.0000 0.0000 0.3364 x2  10 Os 2.67-2.80, 2 Cr 2.69
Os: 0.0000 0.0000 0.6638 x2  10 Os 2.67-2.80, 2 Cr 2.69
Os: 0.5000 0.0000 0.2211 x2  12 Os 2.68-2.77
Os: 0.5000 0.0000 0.5534 x2  4 Cr 2.67, 8 Os 2.67-2.74
Os: 0.5000 0.0000 0.8914 x2  2 Cr 2.65, 10 Os 2.67-2.77

Record 6
The following is a PBE calculation of LiEuBi2 after structural relaxation, from the Alexandria database.

For the energy relative to the lowest polymorph listed for this composition, the calculation gives 0 meV/atom. The calculation puts the formation energy at -228 kJ/mol of formula units.

Cell: 5.0274 5.0274 4.5442 Å, 90.00 90.00 90.00°
Last column: nearest neighbours and their distance in Å.
Space group P4/mmm (No. 123)
One atom of each set of equivalent atoms:
Li: 0.0000 0.0000 0.0000 x1  8 Bi 3.39, 4 Eu 3.55
Eu: 0.5000 0.5000 0.0000 x1  8 Bi 3.39, 4 Li 3.55
Bi: 0.0000 0.5000 0.5000 x2  4 Eu 3.39, 4 Li 3.39, 4 Bi 3.55

Record 7
The following is a PBE calculation of LiScRe2 after structural relaxation, from the Alexandria database.

For the energy relative to the lowest polymorph listed for this composition, the calculation gives 352 meV/atom. The calculation puts the formation energy at 128 kJ/mol of formula units.

Cell: 2.7853 2.7853 28.6699 Å, 90.00 90.00 120.00°
Last column: nearest neighbours and their distance in Å.
Space group R-3m (No. 166, hexagonal axes)
One atom of each set of equivalent atoms:
Li: 0.0000 0.0000 0.0000 x3  6 Li 2.79, 6 Re 2.84
Sc: 0.0000 0.0000 0.5000 x3  6 Sc 2.79, 6 Re 2.92
Re: 0.0000 0.0000 0.2516 x6  6 Re 2.79, 3 Li 2.84, 3 Sc 2.92

Computed values of E (unit: eV per atom) for the preceding records, in sequence: -5.327; -6.044; -4.212; -2.832; -10.966; -5.578; -7.953.